[1]
VASP calculation (PBE) on a relaxed structure of BaLiPaO4. Values from VASP.

Total DFT energy (no corrections)   -7.74 eV per atom
ΔE_f (raw)   -3.00 eV/atom

```
&SYSTEM
  ibrav = 0, nat = 14, ntyp = 4
/
ATOMIC_SPECIES
Ba 137.33 Ba.upf
Li 6.94 Li.upf
Pa 231.04 Pa.upf
O 16.00 O.upf
CELL_PARAMETERS angstrom
-3.6854 3.9485 3.9789
3.6854 -3.9485 3.9789
3.6854 3.9485 -3.9789
ATOMIC_POSITIONS crystal
Ba 0.4301 0.1801 0.2500
Ba 0.5699 0.8199 0.7500
Li 0.0000 0.5000 0.5000
Li 0.5000 0.5000 0.0000
Pa 0.0000 0.0000 0.5000
Pa 0.0000 0.5000 0.0000
O 0.1629 0.2411 0.9218
O 0.1808 0.7589 0.4218
O 0.2577 0.3026 0.5449
O 0.2577 0.7129 0.9551
O 0.7423 0.2871 0.0449
O 0.7423 0.6974 0.4551
O 0.8192 0.2411 0.5782
O 0.8371 0.7589 0.0782
```

=====

[2]
VASP calculation (PBE) on a relaxed structure of Th3Se2S. Values from VASP.

Total DFT energy (no corrections)   -7.19 eV per atom
ΔE_f (raw)   -1.64 eV/atom

```
&SYSTEM
  ibrav = 0, nat = 12, ntyp = 3
/
ATOMIC_SPECIES
Th 232.04 Th.upf
Se 78.96 Se.upf
S 32.06 S.upf
CELL_PARAMETERS angstrom
4.1495 0.0000 0.0000
0.0000 4.1495 0.0000
0.0000 0.0000 17.6436
ATOMIC_POSITIONS crystal
Th 0.0000 0.0000 0.0000
Th 0.0000 0.0000 0.3390
Th 0.0000 0.0000 0.6610
Th 0.5000 0.5000 0.1610
Th 0.5000 0.5000 0.5000
Th 0.5000 0.5000 0.8390
Se 0.0000 0.0000 0.1688
Se 0.0000 0.0000 0.8312
Se 0.5000 0.5000 0.3312
Se 0.5000 0.5000 0.6688
S 0.0000 0.0000 0.5000
S 0.5000 0.5000 0.0000
```

=====

[3]
VASP calculation (PBE) on a relaxed structure of BaMgAl3P2H2O14. Values from VASP.

Excess energy over the best structure of this formula in the dataset   0.00 eV/f.u.
Total DFT energy (no corrections)   -6.70 eV per atom

```
&SYSTEM
  ibrav = 0, nat = 23, ntyp = 6
/
ATOMIC_SPECIES
Ba 137.33 Ba.upf
Mg 24.30 Mg.upf
Al 26.98 Al.upf
P 30.97 P.upf
H 1.01 H.upf
O 16.00 O.upf
CELL_PARAMETERS angstrom
6.3403 -3.4233 0.0000
6.3403 3.4233 0.0000
-3.7770 0.0000 6.1402
ATOMIC_POSITIONS crystal
Ba 0.0000 0.0000 0.0000
Mg 0.4874 0.4874 0.6468
Al 0.0231 0.5257 0.5163
Al 0.5257 0.0231 0.5163
Al 0.9980 0.9980 0.5423
P 0.2891 0.2891 0.9064
P 0.7280 0.7280 0.1358
H 0.3081 0.3081 0.3026
H 0.7200 0.7200 0.7040
O 0.0009 0.2098 0.4404
O 0.1370 0.4983 0.8042
O 0.1466 0.7320 0.6131
O 0.1490 0.1490 0.8274
O 0.2098 0.0009 0.4404
O 0.2983 0.2983 0.4349
O 0.3697 0.3697 0.1525
O 0.4983 0.1370 0.8042
O 0.5087 0.8756 0.2193
O 0.6589 0.6589 0.8867
O 0.7312 0.7312 0.5780
O 0.7320 0.1466 0.6131
O 0.8707 0.8707 0.2338
O 0.8756 0.5087 0.2193
```

=====

[4]
VASP calculation (PBE) on a relaxed structure of CdAg3P. Values from VASP.

Excess energy over the best structure of this formula in the dataset   4.16 eV/f.u.
E_form   1.056 eV per atom
Total DFT energy (no corrections)   -1.92 eV per atom

```
&SYSTEM
  ibrav = 0, nat = 5, ntyp = 3
/
ATOMIC_SPECIES
Cd 112.41 Cd.upf
Ag 107.87 Ag.upf
P 30.97 P.upf
CELL_PARAMETERS angstrom
5.0882 0.0000 0.0000
0.0000 5.0882 0.0000
0.0000 0.0000 5.0882
ATOMIC_POSITIONS crystal
Cd 0.0000 0.0000 0.0000
Ag 0.0000 0.0000 0.5000
Ag 0.0000 0.5000 0.0000
Ag 0.5000 0.0000 0.0000
P 0.5000 0.5000 0.5000
```